# Ca3PtPb3

Ca3PtPb3 after structural relaxation (GGA-PBE, Alexandria).

Lattice parameters (Å, degrees): 4.698 6.176 15.195 84.10 81.11 67.65
Fractional coordinates of all 14 atoms:
Ca 0.525 0.333 0.617
Ca 0.475 0.667 0.383
Ca 0.266 0.226 0.242
Ca 0.734 0.774 0.758
Ca 0.405 0.269 0.920
Ca 0.595 0.731 0.080
Pt 0.759 0.101 0.381
Pt 0.241 0.899 0.619
Pb 0.851 0.762 0.536
Pb 0.149 0.238 0.464
Pb 0.123 0.831 0.922
Pb 0.877 0.169 0.078
Pb 0.981 0.802 0.236
Pb 0.019 0.198 0.764

Results
uncorrected energy: -3.90 eV per atom
ΔH_f (0 K): -0.586 eV per atom
magnetization: 0.00 μB/cell